! SrWAu2, optimized geometry, DFT GGA-PBEsol; values from VASP
&SYSTEM
  ibrav = 0, nat = 4, ntyp = 3
/
ATOMIC_SPECIES
Sr 87.62 Sr.upf
W 183.84 W.upf
Au 196.97 Au.upf
CELL_PARAMETERS angstrom
2.942 0.000 0.000
0.000 4.219 0.000
0.000 0.000 6.683
ATOMIC_POSITIONS crystal
Sr 0.000 0.000 0.000
W 0.500 0.500 0.341
Au 0.000 0.000 0.477
Au 0.500 0.500 0.743
! - total magnetization (Bohr magnetons per cell) = 0.00
! - Fermi-level density of states (states/eV per atom) = 0.67
! - raw total energy (eV per atom) = -5.41
! - distance to the lowest polymorph of the same formula (eV per formula unit) = 0.93

! SrW2Au, optimized geometry, DFT GGA-PBEsol; values from VASP
&SYSTEM
  ibrav = 0, nat = 8, ntyp = 3
/
ATOMIC_SPECIES
Sr 87.62 Sr.upf
W 183.84 W.upf
Au 196.97 Au.upf
CELL_PARAMETERS angstrom
3.888 0.000 0.000
0.000 3.920 0.000
0.000 0.000 9.757
ATOMIC_POSITIONS crystal
Sr 0.000 0.000 0.000
Sr 0.500 0.500 0.000
W 0.000 0.500 0.281
W 0.000 0.500 0.719
W 0.500 0.000 0.281
W 0.500 0.000 0.719
Au 0.000 0.000 0.500
Au 0.500 0.500 0.500
! - total magnetization (Bohr magnetons per cell) = 0.00
! - Fermi-level density of states (states/eV per atom) = 0.64
! - raw total energy (eV per atom) = -7.43
! - distance to the lowest polymorph of the same formula (eV per formula unit) = 0.83

! SrWAu2, optimized geometry, DFT GGA-PBEsol; values from VASP
&SYSTEM
  ibrav = 0, nat = 4, ntyp = 3
/
ATOMIC_SPECIES
Sr 87.62 Sr.upf
W 183.84 W.upf
Au 196.97 Au.upf
CELL_PARAMETERS angstrom
2.873 0.000 0.000
0.000 3.945 0.000
0.000 0.000 7.095
ATOMIC_POSITIONS crystal
Sr 0.000 0.000 0.000
W 0.000 0.000 0.500
Au 0.500 0.500 0.304
Au 0.500 0.500 0.696
! - total magnetization (Bohr magnetons per cell) = 0.00
! - Fermi-level density of states (states/eV per atom) = 0.82
! - raw total energy (eV per atom) = -5.64
! - distance to the lowest polymorph of the same formula (eV per formula unit) = 0.00

! SrWAu2, optimized geometry, DFT GGA-PBEsol; values from VASP
&SYSTEM
  ibrav = 0, nat = 8, ntyp = 3
/
ATOMIC_SPECIES
Sr 87.62 Sr.upf
W 183.84 W.upf
Au 196.97 Au.upf
CELL_PARAMETERS angstrom
4.126 0.000 0.000
0.000 4.126 0.000
0.000 0.000 9.411
ATOMIC_POSITIONS crystal
Sr 0.000 0.000 0.000
Sr 0.500 0.500 0.500
W 0.000 0.500 0.250
W 0.500 0.000 0.750
Au 0.000 0.000 0.500
Au 0.000 0.500 0.750
Au 0.500 0.000 0.250
Au 0.500 0.500 0.000
! - total magnetization (Bohr magnetons per cell) = 3.72
! - Fermi-level density of states (states/eV per atom) = 0.91
! - raw total energy (eV per atom) = -5.21
! - distance to the lowest polymorph of the same formula (eV per formula unit) = 1.71

! SrY2Au, optimized geometry, DFT GGA-PBEsol; values from VASP
&SYSTEM
  ibrav = 0, nat = 8, ntyp = 3
/
ATOMIC_SPECIES
Sr 87.62 Sr.upf
Y 88.91 Y.upf
Au 196.97 Au.upf
CELL_PARAMETERS angstrom
6.415 0.000 0.000
0.000 11.356 0.000
-1.715 0.000 3.077
ATOMIC_POSITIONS crystal
Sr 0.000 0.000 0.000
Sr 0.500 0.500 0.000
Y 0.250 0.250 0.500
Y 0.250 0.750 0.500
Y 0.750 0.250 0.500
Y 0.750 0.750 0.500
Au 0.000 0.500 0.000
Au 0.500 0.000 0.000
! - total magnetization (Bohr magnetons per cell) = 0.00
! - Fermi-level density of states (states/eV per atom) = 1.20
! - raw total energy (eV per atom) = -4.84
! - distance to the lowest polymorph of the same formula (eV per formula unit) = 1.34

! SrY2Au, optimized geometry, DFT GGA-PBEsol; values from VASP
&SYSTEM
  ibrav = 0, nat = 4, ntyp = 3
/
ATOMIC_SPECIES
Sr 87.62 Sr.upf
Y 88.91 Y.upf
Au 196.97 Au.upf
CELL_PARAMETERS angstrom
3.639 0.000 0.000
0.000 3.639 0.000
0.000 0.000 9.069
ATOMIC_POSITIONS crystal
Sr 0.000 0.000 0.000
Y 0.000 0.000 0.604
Y 0.500 0.500 0.340
Au 0.500 0.500 0.769
! - total magnetization (Bohr magnetons per cell) = 0.72
! - Fermi-level density of states (states/eV per atom) = 1.31
! - raw total energy (eV per atom) = -5.18
! - distance to the lowest polymorph of the same formula (eV per formula unit) = 0.00

! SrYAu2, optimized geometry, DFT GGA-PBEsol; values from VASP
&SYSTEM
  ibrav = 0, nat = 8, ntyp = 3
/
ATOMIC_SPECIES
Sr 87.62 Sr.upf
Y 88.91 Y.upf
Au 196.97 Au.upf
CELL_PARAMETERS angstrom
4.728 0.000 0.000
0.000 3.864 0.000
0.000 0.000 11.024
ATOMIC_POSITIONS crystal
Sr 0.000 0.000 0.000
Sr 0.000 0.500 0.500
Y 0.500 0.000 0.275
Y 0.500 0.500 0.775
Au 0.000 0.000 0.727
Au 0.000 0.500 0.227
Au 0.500 0.000 0.562
Au 0.500 0.500 0.062
! - total magnetization (Bohr magnetons per cell) = 0.00
! - Fermi-level density of states (states/eV per atom) = 0.64
! - raw total energy (eV per atom) = -4.87
! - distance to the lowest polymorph of the same formula (eV per formula unit) = 0.15

! SrYAu2, optimized geometry, DFT GGA-PBEsol; values from VASP
&SYSTEM
  ibrav = 0, nat = 4, ntyp = 3
/
ATOMIC_SPECIES
Sr 87.62 Sr.upf
Y 88.91 Y.upf
Au 196.97 Au.upf
CELL_PARAMETERS angstrom
3.619 0.000 0.000
0.000 3.619 0.000
0.000 0.000 7.444
ATOMIC_POSITIONS crystal
Sr 0.000 0.000 0.000
Y 0.000 0.000 0.500
Au 0.500 0.500 0.289
Au 0.500 0.500 0.711
! - total magnetization (Bohr magnetons per cell) = 0.00
! - Fermi-level density of states (states/eV per atom) = 0.84
! - raw total energy (eV per atom) = -4.91
! - distance to the lowest polymorph of the same formula (eV per formula unit) = 0.00

! SrYAu2, optimized geometry, DFT GGA-PBEsol; values from VASP
&SYSTEM
  ibrav = 0, nat = 16, ntyp = 3
/
ATOMIC_SPECIES
Sr 87.62 Sr.upf
Y 88.91 Y.upf
Au 196.97 Au.upf
CELL_PARAMETERS angstrom
7.268 0.000 0.000
0.000 7.268 0.000
0.000 0.000 7.268
ATOMIC_POSITIONS crystal
Sr 0.000 0.000 0.000
Sr 0.000 0.500 0.500
Sr 0.500 0.000 0.500
Sr 0.500 0.500 0.000
Y 0.000 0.000 0.500
Y 0.000 0.500 0.000
Y 0.500 0.000 0.000
Y 0.500 0.500 0.500
Au 0.250 0.250 0.250
Au 0.250 0.250 0.750
Au 0.250 0.750 0.250
Au 0.250 0.750 0.750
Au 0.750 0.250 0.250
Au 0.750 0.250 0.750
Au 0.750 0.750 0.250
Au 0.750 0.750 0.750
! - total magnetization (Bohr magnetons per cell) = 0.00
! - Fermi-level density of states (states/eV per atom) = 0.76
! - raw total energy (eV per atom) = -4.82
! - distance to the lowest polymorph of the same formula (eV per formula unit) = 0.35

! SrY3Au, optimized geometry, DFT GGA-PBEsol; values from VASP
&SYSTEM
  ibrav = 0, nat = 5, ntyp = 3
/
ATOMIC_SPECIES
Sr 87.62 Sr.upf
Y 88.91 Y.upf
Au 196.97 Au.upf
CELL_PARAMETERS angstrom
5.366 0.000 0.000
0.000 5.366 0.000
0.000 0.000 5.366
ATOMIC_POSITIONS crystal
Sr 0.000 0.000 0.000
Y 0.000 0.000 0.500
Y 0.000 0.500 0.000
Y 0.500 0.000 0.000
Au 0.500 0.500 0.500
! - total magnetization (Bohr magnetons per cell) = 0.00
! - Fermi-level density of states (states/eV per atom) = 0.95
! - raw total energy (eV per atom) = -4.03

! SrZnAu2, optimized geometry, DFT GGA-PBEsol; values from VASP
&SYSTEM
  ibrav = 0, nat = 4, ntyp = 3
/
ATOMIC_SPECIES
Sr 87.62 Sr.upf
Zn 65.41 Zn.upf
Au 196.97 Au.upf
CELL_PARAMETERS angstrom
3.982 0.000 0.000
0.000 4.716 0.000
0.000 0.000 5.066
ATOMIC_POSITIONS crystal
Sr 0.000 0.000 0.000
Zn 0.500 0.500 0.696
Au 0.500 0.000 0.499
Au 0.500 0.500 0.192
! - total magnetization (Bohr magnetons per cell) = 0.00
! - Fermi-level density of states (states/eV per atom) = 0.42
! - raw total energy (eV per atom) = -3.27

! SrZn2Au, optimized geometry, DFT GGA-PBEsol; values from VASP
&SYSTEM
  ibrav = 0, nat = 12, ntyp = 3
/
ATOMIC_SPECIES
Sr 87.62 Sr.upf
Zn 65.41 Zn.upf
Au 196.97 Au.upf
CELL_PARAMETERS angstrom
4.438 0.000 0.000
-2.219 3.844 0.000
0.000 0.000 15.962
ATOMIC_POSITIONS crystal
Sr 0.000 0.000 0.000
Sr 0.333 0.667 0.667
Sr 0.667 0.333 0.333
Zn 0.000 0.000 0.513
Zn 0.000 0.000 0.806
Zn 0.333 0.667 0.179
Zn 0.333 0.667 0.473
Zn 0.667 0.333 0.140
Zn 0.667 0.333 0.846
Au 0.000 0.000 0.197
Au 0.333 0.667 0.863
Au 0.667 0.333 0.530
! - total magnetization (Bohr magnetons per cell) = 0.00
! - Fermi-level density of states (states/eV per atom) = 0.45
! - raw total energy (eV per atom) = -2.62